No. 1
Below is a relaxed structure of HgTe2O, with properties calculated at the GGA-PBE level.

a = 6.955 Å, b = 6.955 Å, c = 6.955 Å
α = 90.00°, β = 90.00°, γ = 90.00°
Space group Fm-3m (No. 225)
One atom of each set of equivalent atoms:
Hg (0.000, 0.000, 0.000) [4 per cell]
Te (0.250, 0.250, 0.250) [8 per cell]
O (0.000, 0.000, 0.500) [4 per cell]

Output
Its total energy is -2.4164 eV per atom. As for the formation energy without anion corrections: 0.469 eV/atom. Its total magnetization is 0.00 μB per formula unit. The value obtained for the energy above the most stable polymorph in this dataset is 48.91 kJ per mole of atoms.

***

No. 2
Below is a relaxed structure of HgTe2O, with properties calculated at the GGA-PBE level.

a = 3.2562 Å, b = 3.2562 Å, c = 29.0796 Å
α = 90.00°, β = 90.00°, γ = 120.00°
Space group R-3m (No. 166, hexagonal axes)
One atom of each set of equivalent atoms:
Hg (0.0000, 0.0000, 0.0000) [3 per cell]
Te (0.0000, 0.0000, 0.1052) [6 per cell]
O (0.0000, 0.0000, 0.5000) [3 per cell]

Output
Its total energy is -2.7061 eV per atom. As for the formation energy without anion corrections: 0.180 eV/atom. Its total magnetization is 0.00 μB per formula unit. The value obtained for the energy above the most stable polymorph in this dataset is 20.97 kJ per mole of atoms.